Below is crystalline TbTh2Ni at its relaxed geometry, with properties calculated at the GGA-PBE level.

Results
V: 108.1 Å³/f.u.
formation energy: -0.20 eV per atom

Cell: 7.019 9.951 6.188 Å, 90.00 90.00 90.00°
Space group Pnma (No. 62)
Unique sites:
Tb (0.046, 0.250, 0.158) x4
Th (0.184, 0.064, 0.654) x8
Ni (0.106, 0.750, 0.393) x4

***

Below is crystalline Li5AcCd7 at its relaxed geometry, with properties calculated at the GGA-PBE level.

Results
V: 278.5 Å³/f.u.
formation energy: -0.23 eV per atom

Cell: 11.254 10.205 5.388 Å, 90.00 115.82 90.00°
Space group Cm (No. 8)
Unique sites:
Li (0.000, 0.000, 0.000) x2
Li (0.018, 0.251, 0.286) x4
Li (0.018, 0.251, 0.783) x4
Ac (0.267, 0.500, 0.283) x2
Cd (0.048, 0.500, 0.579) x2
Cd (0.116, 0.000, 0.607) x2
Cd (0.264, 0.148, 0.278) x4
Cd (0.273, 0.286, 0.788) x4
Cd (0.414, 0.000, 0.956) x2

***

Below is crystalline AcIn8Ir4 at its relaxed geometry, with properties calculated at the GGA-PBE level.

Results
V: 270.3 Å³/f.u.
formation energy: -0.19 eV per atom

Cell: 9.618 9.618 5.844 Å, 90.00 90.00 90.00°
Space group I4/mmm (No. 139)
Unique sites:
Ac (0.000, 0.000, 0.000) x2
In (0.000, 0.221, 0.500) x8
In (0.000, 0.343, 0.000) x8
Ir (0.250, 0.250, 0.250) x8

***

Below is crystalline V4PdW at its relaxed geometry, with properties calculated at the GGA-PBE level.

Results
V: 84.9 Å³/f.u.
formation energy: 0.06 eV per atom

Cell: 6.976 6.976 6.976 Å, 90.00 90.00 90.00°
Space group F-43m (No. 216)
Unique sites:
V (0.123, 0.123, 0.123) x16
Pd (0.000, 0.000, 0.500) x4
W (0.250, 0.250, 0.750) x4

***

Below is crystalline RbVP2 at its relaxed geometry, with properties calculated at the GGA-PBE level.

Results
V: 95.1 Å³/f.u.
formation energy: 0.01 eV per atom

Cell: 3.5046 3.5046 26.8279 Å, 90.00 90.00 120.00°
Space group R-3m (No. 166, hexagonal axes)
Unique sites:
Rb (0.0000, 0.0000, 0.0000) x3
V (0.0000, 0.0000, 0.5000) x3
P (0.0000, 0.0000, 0.1167) x6

***

Below is crystalline KIn3Co at its relaxed geometry, with properties calculated at the GGA-PBE level.

Results
V: 129.5 Å³/f.u.
formation energy: -0.06 eV per atom

Cell: 5.060 5.060 5.060 Å, 90.00 90.00 90.00°
Space group Pm-3m (No. 221)
Unique sites:
K (0.000, 0.000, 0.000) x1
In (0.000, 0.500, 0.500) x3
Co (0.500, 0.500, 0.500) x1

***

Below is crystalline SiNiTe2 at its relaxed geometry, with properties calculated at the GGA-PBE level.

Results
V: 83.2 Å³/f.u.
formation energy without anion corrections: 22 meV per atom

Cell: 3.660 5.164 8.807 Å, 90.00 90.00 90.00°
Space group Amm2 (No. 38)
Unique sites:
Si (0.000, 0.000, 0.000) x2
Ni (0.500, 0.000, 0.833) x2
Te (0.000, 0.000, 0.624) x2
Te (0.500, 0.000, 0.303) x2

***

Below is crystalline HoZrZnPd at its relaxed geometry, with properties calculated at the GGA-PBE level.

Results
V: 81.2 Å³/f.u.
formation energy: -0.43 eV per atom

Cell: 6.874 6.874 6.874 Å, 90.00 90.00 90.00°
Space group F-43m (No. 216)
Unique sites:
Ho (0.000, 0.000, 0.000) x4
Zr (0.000, 0.000, 0.500) x4
Zn (0.250, 0.250, 0.250) x4
Pd (0.250, 0.250, 0.750) x4

***

Below is crystalline RbHg2Se2 at its relaxed geometry, with properties calculated at the GGA-PBE level.

Results
V: 138.9 Å³/f.u.
formation energy without anion corrections: -204 meV per atom

Cell: 8.531 8.531 3.818 Å, 90.00 90.00 90.00°
Space group P4/mbm (No. 127)
Unique sites:
Rb (0.000, 0.000, 0.000) x2
Hg (0.141, 0.359, 0.500) x4
Se (0.155, 0.655, 0.000) x4

***

Below is crystalline ScIn2Ge at its relaxed geometry, with properties calculated at the GGA-PBE level.

Results
V: 95.1 Å³/f.u.
formation energy: -0.12 eV per atom

Cell: 8.145 8.145 5.735 Å, 90.00 90.00 90.00°
Space group I-42d (No. 122)
Unique sites:
Sc (0.000, 0.000, 0.000) x4
In (0.214, 0.250, 0.625) x8
Ge (0.000, 0.000, 0.500) x4

***

Below is crystalline CaTb2Nd6 at its relaxed geometry, with properties calculated at the GGA-PBE level.

Results
V: 377.4 Å³/f.u.
formation energy: 0.49 eV per atom

Cell: 6.0771 6.0771 11.8002 Å, 90.00 90.00 120.00°
Space group P-31m (No. 162)
Unique sites:
Ca (0.0000, 0.0000, 0.0000) x1
Tb (0.3333, 0.6667, 0.5000) x2
Nd (0.0000, 0.3323, 0.2576) x6

***

Below is crystalline MgW2Cl at its relaxed geometry, with properties calculated at the GGA-PBE level.

Results
V: 79.0 Å³/f.u.
formation energy without anion corrections: 145 meV per atom

Cell: 3.308 3.132 7.774 Å, 90.00 101.18 90.00°
Space group Pm (No. 6)
Unique sites:
Mg (0.000, 0.000, 0.000) x1
W (0.392, 0.500, 0.756) x1
W (0.780, 0.000, 0.583) x1
Cl (0.647, 0.500, 0.315) x1